DFT (PBE+U) results for crystalline InCoF3 at its relaxed geometry.

Lattice parameters (Å, degrees): 4.166 4.166 4.166 90.00 90.00 90.00
Last column: magnetic moment on the atom in μB.
Element x y z (fractional)
F  0.000  0.500  0.000  0.08
F  0.500  0.000  0.000  0.10
In  0.500  0.500  0.500  0.01
Co  0.000  0.000  0.000  2.75
F  0.000  0.000  0.500  0.04

Symmetry = Pm-3m
M_tot = 3.0 μB/f.u.
Energy relative to the lowest polymorph listed for this composition = 0 kJ/mol of formula units